Record 1
VASP calculation (PBE-GGA) on a relaxed structure of Tb5BiSb2.

**Raw formation energy**: -47.2 kJ/mol of atoms
**Density**: 7.58 g/cm3

Unit cell a=6.123 b=12.673 c=14.091 alpha=90.00 beta=90.00 gamma=90.00
Space group Cmcm (No. 63)
Unique sites:
1 Tb 0.000 0.056 0.111 [8 per cell]
2 Tb 0.000 0.330 0.750 [4 per cell]
3 Tb 0.000 0.373 0.058 [8 per cell]
4 Bi 0.000 0.248 0.250 [4 per cell]
5 Sb 0.000 0.181 0.577 [8 per cell]

=====

Record 2
VASP calculation (PBE-GGA) on a relaxed structure of TbBiSb2.

**Raw formation energy**: -20.6 kJ/mol of atoms
**Density**: 8.41 g/cm3
**Relative energy among the computed polymorphs**: 199.1 meV per atom

Unit cell a=3.5000 b=3.5000 c=34.1372 alpha=90.00 beta=90.00 gamma=120.00
Space group R-3m (No. 166, hexagonal axes)
Unique sites:
1 Tb 0.0000 0.0000 0.0000 [3 per cell]
2 Bi 0.0000 0.0000 0.5000 [3 per cell]
3 Sb 0.0000 0.0000 0.4062 [6 per cell]

=====

Record 3
VASP calculation (PBE-GGA) on a relaxed structure of Tb8BiSb2.

**Raw formation energy**: -46.4 kJ/mol of atoms
**Density**: 8.52 g/cm3

Unit cell a=18.476 b=4.644 c=7.841 alpha=90.00 beta=92.32 gamma=90.00
Space group C2/m (No. 12)
Unique sites:
1 Tb 0.005 0.000 0.262 [4 per cell]
2 Tb 0.098 0.500 0.524 [4 per cell]
3 Tb 0.169 0.500 0.039 [4 per cell]
4 Tb 0.216 0.000 0.362 [4 per cell]
5 Bi 0.000 0.500 0.000 [2 per cell]
6 Sb 0.173 0.000 0.765 [4 per cell]

=====

Record 4
VASP calculation (PBE-GGA) on a relaxed structure of Tb4Bi2Sb.

**Raw formation energy**: -80.7 kJ/mol of atoms
**Density**: 9.52 g/cm3
**Relative energy among the computed polymorphs**: 0.0 meV per atom

Unit cell a=9.336 b=9.336 c=9.412 alpha=90.00 beta=90.00 gamma=90.00
Space group I-42d (No. 122)
Unique sites:
1 Tb 0.072 0.681 0.452 [16 per cell]
2 Bi 0.121 0.750 0.125 [8 per cell]
3 Sb 0.000 0.000 0.500 [4 per cell]

=====

Record 5
VASP calculation (PBE-GGA) on a relaxed structure of TbBiSb2.

**Raw formation energy**: -39.8 kJ/mol of atoms
**Density**: 8.95 g/cm3
**Relative energy among the computed polymorphs**: 0.0 meV per atom

Unit cell a=5.241 b=5.241 c=4.129 alpha=90.00 beta=90.00 gamma=90.00
Space group P4/mmm (No. 123)
Unique sites:
1 Tb 0.000 0.000 0.000 [1 per cell]
2 Bi 0.500 0.500 0.000 [1 per cell]
3 Sb 0.000 0.500 0.500 [2 per cell]

=====

Record 6
VASP calculation (PBE-GGA) on a relaxed structure of Tb4BiSb2.

**Raw formation energy**: -71.8 kJ/mol of atoms
**Density**: 8.02 g/cm3

Unit cell a=9.559 b=13.723 c=13.744 alpha=90.00 beta=90.00 gamma=90.00
Space group Fddd (No. 70, origin choice 2)
Unique sites:
1 Tb 0.057 0.282 0.468 [32 per cell]
2 Bi 0.125 0.125 0.625 [8 per cell]
3 Sb 0.000 0.000 0.000 [16 per cell]

=====

Record 7
VASP calculation (PBE-GGA) on a relaxed structure of Tb2BiSb.

**Raw formation energy**: -86.4 kJ/mol of atoms
**Density**: 8.47 g/cm3
**Relative energy among the computed polymorphs**: 118.5 meV per atom

Unit cell a=4.4055 b=4.4055 c=22.7055 alpha=90.00 beta=90.00 gamma=120.00
Space group R3m (No. 160, hexagonal axes)
Unique sites:
1 Tb 0.0000 0.0000 0.0000 [3 per cell]
2 Tb 0.0000 0.0000 0.1670 [3 per cell]
3 Bi 0.0000 0.0000 0.5849 [3 per cell]
4 Sb 0.0000 0.0000 0.4155 [3 per cell]

=====

Record 8
VASP calculation (PBE-GGA) on a relaxed structure of Tb4Bi2Sb.

**Raw formation energy**: -61.4 kJ/mol of atoms
**Density**: 8.58 g/cm3
**Relative energy among the computed polymorphs**: 200.1 meV per atom

Unit cell a=9.567 b=13.781 c=13.799 alpha=90.00 beta=90.00 gamma=90.00
Space group F222 (No. 22)
Unique sites:
1 Tb 0.060 0.154 0.154 [16 per cell]
2 Tb 0.190 0.096 0.595 [16 per cell]
3 Bi 0.125 0.125 0.375 [16 per cell]
4 Sb 0.000 0.000 0.000 [4 per cell]
5 Sb 0.250 0.250 0.750 [4 per cell]

=====

Record 9
VASP calculation (PBE-GGA) on a relaxed structure of TbBiSb2.

**Raw formation energy**: -38.7 kJ/mol of atoms
**Density**: 8.95 g/cm3
**Relative energy among the computed polymorphs**: 12.2 meV per atom

Unit cell a=4.150 b=4.150 c=6.589 alpha=90.00 beta=90.00 gamma=90.00
Space group P4/mmm (No. 123)
Unique sites:
1 Tb 0.000 0.000 0.000 [1 per cell]
2 Bi 0.000 0.000 0.500 [1 per cell]
3 Sb 0.500 0.500 0.231 [2 per cell]

=====

Record 10
VASP calculation (PBE-GGA) on a relaxed structure of Tb10Bi3Sb3.

**Raw formation energy**: -79.3 kJ/mol of atoms
**Density**: 9.33 g/cm3

Unit cell a=9.1230 b=9.1230 c=6.3728 alpha=90.00 beta=90.00 gamma=120.00
Space group P-62m (No. 189)
Unique sites:
1 Tb 0.0000 0.2462 0.0000 [3 per cell]
2 Tb 0.0000 0.7547 0.5000 [3 per cell]
3 Tb 0.3333 0.6667 0.2460 [4 per cell]
4 Bi 0.0000 0.3902 0.5000 [3 per cell]
5 Sb 0.0000 0.6127 0.0000 [3 per cell]

=====

Record 11
VASP calculation (PBE-GGA) on a relaxed structure of Tb2BiSb.

**Raw formation energy**: -97.8 kJ/mol of atoms
**Density**: 8.67 g/cm3
**Relative energy among the computed polymorphs**: 0.0 meV per atom

Unit cell a=8.900 b=17.764 c=7.699 alpha=90.00 beta=125.25 gamma=90.00
Space group C2/c (No. 15)
Unique sites:
1 Tb 0.242 0.063 0.245 [8 per cell]
2 Tb 0.248 0.187 0.745 [8 per cell]
3 Bi 0.000 0.313 0.750 [4 per cell]
4 Bi 0.000 0.438 0.250 [4 per cell]
5 Sb 0.000 0.063 0.750 [4 per cell]
6 Sb 0.000 0.188 0.250 [4 per cell]

=====

Record 12
VASP calculation (PBE-GGA) on a relaxed structure of Tb4Bi2SbTe.

**Raw formation energy**: -104.6 kJ/mol of atoms
**Density**: 8.74 g/cm3

Unit cell a=7.684 b=4.444 c=7.685 alpha=90.00 beta=109.44 gamma=90.00
Space group P2/m (No. 10)
Unique sites:
1 Tb 0.246 0.000 0.245 [2 per cell]
2 Tb 0.250 0.500 0.754 [2 per cell]
3 Bi 0.500 0.000 0.000 [1 per cell]
4 Bi 0.500 0.500 0.500 [1 per cell]
5 Sb 0.000 0.500 0.000 [1 per cell]
6 Te 0.000 0.000 0.500 [1 per cell]

=====

> Number 6 is which compound?

Tb4BiSb2